[1]
! AlTe2P PBE relaxed; values from VASP
! - space group = Immm, No. 71
! - E_form (uncorrected) (eV/atom) = 0.103
! - DOS at the Fermi energy (states/eV per cell) = 1.22
! - final energy (eV/atom) = -3.756
! - E above lowest polymorph (eV per atom) = 0.234
&SYSTEM
  ibrav = 0, nat = 4, ntyp = 3
/
ATOMIC_SPECIES
P 30.97 P.upf
Te 127.60 Te.upf
Al 26.98 Al.upf
CELL_PARAMETERS angstrom
7.352 0.034 -0.006
5.207 5.190 0.006
-6.305 -2.552 2.792
ATOMIC_POSITIONS angstrom
P 2.591 2.625 1.399
Te 1.263 0.525 0.000
Te 5.017 2.087 0.000
Al 3.664 0.047 1.393

***

[2]
! AlTe2P2 PBE relaxed; values from VASP
! - space group = I4/mmm, No. 139
! - E_form (uncorrected) (eV/atom) = 0.333
! - DOS at the Fermi energy (states/eV per cell) = 2.98
! - final energy (eV/atom) = -3.836
! - E above lowest polymorph (eV per atom) = 0.000
&SYSTEM
  ibrav = 0, nat = 5, ntyp = 3
/
ATOMIC_SPECIES
P 30.97 P.upf
Te 127.60 Te.upf
Al 26.98 Al.upf
CELL_PARAMETERS angstrom
-0.198 2.229 2.688
1.118 -2.510 2.164
8.977 2.387 0.958
ATOMIC_POSITIONS angstrom
P 4.619 2.238 3.036
P 5.277 -0.132 2.774
Te 1.989 0.313 2.162
Te 7.907 1.793 3.648
Al 0.000 0.000 0.000